1.
First-principles (GGA-PBE) data for a relaxed structure of PrDy2Zn2Ge2, as listed in Alexandria via LeMat-Bulk.

a b c (Å): 11.5278 11.5278 11.5278
angles (deg): 20.82 20.82 20.82
Last column: nearest neighbours and their distance in Å.
Sites, in units of the cell vectors:
1 Pr 0.0000 0.0000 0.0000  6 Zn 3.16, 6 Ge 3.36
2 Dy 0.1242 0.1242 0.1242  3 Ge 3.04, 3 Zn 3.22
3 Dy 0.8758 0.8758 0.8758  3 Ge 3.04, 3 Zn 3.22
4 Zn 0.3941 0.3941 0.3941  3 Ge 2.42
5 Zn 0.6059 0.6059 0.6059  3 Ge 2.42
6 Ge 0.2641 0.2641 0.2641  3 Zn 2.42
7 Ge 0.7359 0.7359 0.7359  3 Zn 2.42

## Properties
energy relative to the elements	-0.4599	eV/atom
symmetry	R-3m

2.
First-principles (GGA-PBE) data for a relaxed structure of Dy3Ge2Pt7, as listed in Alexandria via LeMat-Bulk.

a b c (Å): 13.8069 13.8069 3.9859
angles (deg): 90.00 90.00 162.64
Last column: nearest neighbours and their distance in Å.
Sites, in units of the cell vectors:
1 Dy 0.0000 0.0000 0.0000  12 Pt 2.88-2.98
2 Dy 0.1831 0.8169 0.0000  6 Pt 3.05-3.32, 4 Ge 3.21
3 Dy 0.8169 0.1831 0.0000  6 Pt 3.05-3.32, 4 Ge 3.21
4 Ge 0.3689 0.6311 0.5000  5 Pt 2.42-2.50
5 Ge 0.6311 0.3689 0.5000  5 Pt 2.42-2.50
6 Pt 0.0803 0.9197 0.5000  2 Ge 2.50
7 Pt 0.2804 0.7196 0.5000  1 Ge 2.42, 2 Pt 2.66
8 Pt 0.4221 0.5779 0.0000  2 Ge 2.47
9 Pt 0.5000 0.5000 0.5000  4 Dy 2.88, 8 Pt 2.91-3.02
10 Pt 0.5779 0.4221 0.0000  2 Ge 2.47
11 Pt 0.7196 0.2804 0.5000  1 Ge 2.42, 2 Pt 2.66
12 Pt 0.9197 0.0803 0.5000  2 Ge 2.50

## Properties
excess energy over the best structure of this formula in the dataset	0.000	eV/atom
energy relative to the elements	-1.0340	eV/atom
symmetry	Cmmm

3.
First-principles (GGA-PBE) data for a relaxed structure of Dy3Ge3Pt, as listed in Alexandria via LeMat-Bulk.

a b c (Å): 5.7242 5.7242 13.9973
angles (deg): 108.32 108.32 44.29
Last column: nearest neighbours and their distance in Å.
Sites, in units of the cell vectors:
1 Dy 0.0324 0.0324 0.3782  7 Ge 2.99-3.33, 4 Pt 3.05-3.31
2 Dy 0.1013 0.1013 0.9238  7 Ge 2.93-3.21
3 Dy 0.2427 0.2427 0.2276  6 Ge 3.01-3.13, 2 Pt 3.09
4 Dy 0.7573 0.7573 0.7724  6 Ge 3.01-3.13, 2 Pt 3.09
5 Dy 0.8987 0.8987 0.0762  7 Ge 2.93-3.21
6 Dy 0.9676 0.9676 0.6218  7 Ge 2.99-3.33, 4 Pt 3.05-3.31
7 Ge 0.3661 0.3661 0.4615  3 Pt 2.53-2.78, 1 Ge 2.67
8 Ge 0.3784 0.3784 0.9256  2 Ge 2.66-2.71, 3 Dy 2.93-2.97
9 Ge 0.4707 0.4707 0.7708  1 Pt 2.61, 1 Ge 2.66
10 Ge 0.5293 0.5293 0.2292  1 Pt 2.61, 1 Ge 2.66
11 Ge 0.6216 0.6216 0.0744  2 Ge 2.66-2.71, 3 Dy 2.93-2.97
12 Ge 0.6339 0.6339 0.5385  3 Pt 2.53-2.78, 1 Ge 2.67
13 Pt 0.2510 0.2510 0.6126  4 Ge 2.53-2.78
14 Pt 0.7490 0.7490 0.3874  4 Ge 2.53-2.78

## Properties
energy relative to the elements	-0.9821	eV/atom
symmetry	C2/m

4.
First-principles (GGA-PBE) data for a relaxed structure of DyGe2Pt7, as listed in Alexandria via LeMat-Bulk.

a b c (Å): 10.6885 10.6885 10.6885
angles (deg): 157.92 157.92 31.43
Last column: nearest neighbours and their distance in Å.
Sites, in units of the cell vectors:
1 Dy 0.0000 0.0000 0.0000  12 Pt 2.89-2.95
2 Ge 0.3248 0.3248 0.0000  8 Pt 2.53-2.56
3 Ge 0.6752 0.6752 0.0000  8 Pt 2.53-2.56
4 Pt 0.1030 0.6030 0.5000  2 Ge 2.53
5 Pt 0.2500 0.7500 0.5000  4 Ge 2.56
6 Pt 0.3970 0.8970 0.5000  2 Ge 2.53
7 Pt 0.5000 0.5000 0.0000  4 Dy 2.89, 8 Pt 2.95
8 Pt 0.6030 0.1030 0.5000  2 Ge 2.53
9 Pt 0.7500 0.2500 0.5000  4 Ge 2.56
10 Pt 0.8970 0.3970 0.5000  2 Ge 2.53

## Properties
excess energy over the best structure of this formula in the dataset	0.000	eV/atom
energy relative to the elements	-0.6828	eV/atom
symmetry	I4/mmm

5.
First-principles (GGA-PBE) data for a relaxed structure of Dy2Ge3Pt5, as listed in Alexandria via LeMat-Bulk.

a b c (Å): 8.5517 8.5517 8.5517
angles (deg): 96.62 96.18 141.00
Last column: nearest neighbours and their distance in Å.
Sites, in units of the cell vectors:
1 Dy 0.1347 0.2280 0.3628  4 Pt 2.93-3.12, 3 Ge 3.09-3.12
2 Dy 0.3653 0.7280 0.0933  4 Pt 2.93-3.12, 3 Ge 3.09-3.12
3 Dy 0.6347 0.2720 0.9067  4 Pt 2.93-3.12, 3 Ge 3.09-3.12
4 Dy 0.8653 0.7720 0.6372  4 Pt 2.93-3.12, 3 Ge 3.09-3.12
5 Ge 0.1354 0.8764 0.0118  5 Pt 2.41-2.53
6 Ge 0.2500 0.7500 0.5000  6 Pt 2.64-2.68, 2 Ge 2.85
7 Ge 0.3646 0.3764 0.7411  5 Pt 2.41-2.53
8 Ge 0.6354 0.6236 0.2589  5 Pt 2.41-2.53
9 Ge 0.7500 0.2500 0.5000  6 Pt 2.64-2.68, 2 Ge 2.85
10 Ge 0.8646 0.1236 0.9882  5 Pt 2.41-2.53
11 Pt 0.0153 0.7500 0.2653  3 Ge 2.49-2.68
12 Pt 0.0999 0.6677 0.7676  3 Ge 2.41-2.64
13 Pt 0.2500 0.2500 0.0000  4 Ge 2.53
14 Pt 0.4001 0.1677 0.5677  3 Ge 2.41-2.64
15 Pt 0.4847 0.7500 0.7347  3 Ge 2.49-2.68
16 Pt 0.5153 0.2500 0.2653  3 Ge 2.49-2.68
17 Pt 0.5999 0.8323 0.4323  3 Ge 2.41-2.64
18 Pt 0.7500 0.7500 0.0000  4 Ge 2.53
19 Pt 0.9001 0.3323 0.2324  3 Ge 2.41-2.64
20 Pt 0.9847 0.2500 0.7347  3 Ge 2.49-2.68

## Properties
excess energy over the best structure of this formula in the dataset	0.000	eV/atom
energy relative to the elements	-0.8849	eV/atom
symmetry	Ibam

6.
First-principles (GGA-PBE) data for a relaxed structure of DyGePt3, as listed in Alexandria via LeMat-Bulk.

a b c (Å): 5.7100 4.5857 7.2811
angles (deg): 90.00 90.00 90.00
Last column: nearest neighbours and their distance in Å.
Sites, in units of the cell vectors:
1 Dy 0.0000 0.0247 0.0000  7 Pt 2.89-3.03, 2 Ge 3.20
2 Dy 0.5000 0.9753 0.5000  7 Pt 2.89-3.03, 2 Ge 3.20
3 Ge 0.0000 0.6646 0.5396  6 Pt 2.39-2.63
4 Ge 0.5000 0.3354 0.0396  6 Pt 2.39-2.63
5 Pt 0.0000 0.1395 0.4056  2 Ge 2.39-2.60
6 Pt 0.2420 0.6136 0.2344  2 Ge 2.41-2.63
7 Pt 0.2580 0.3864 0.7344  2 Ge 2.41-2.63
8 Pt 0.5000 0.8605 0.9056  2 Ge 2.39-2.60
9 Pt 0.7420 0.3864 0.7344  2 Ge 2.41-2.63
10 Pt 0.7580 0.6136 0.2344  2 Ge 2.41-2.63

## Properties
excess energy over the best structure of this formula in the dataset	0.000	eV/atom
energy relative to the elements	-0.8494	eV/atom
symmetry	Pmn2_1

7.
First-principles (GGA-PBE) data for a relaxed structure of Dy3Ge4Pt7, as listed in Alexandria via LeMat-Bulk.

a b c (Å): 8.1155 8.1155 9.5830
angles (deg): 123.53 123.53 29.21
Last column: nearest neighbours and their distance in Å.
Sites, in units of the cell vectors:
1 Dy 0.0000 0.0000 0.0000  6 Ge 3.03-3.17, 6 Pt 3.26-3.35
2 Dy 0.3288 0.3288 0.3332  4 Ge 3.01-3.02, 10 Pt 3.01-3.36
3 Dy 0.6712 0.6712 0.6668  4 Ge 3.01-3.02, 10 Pt 3.01-3.36
4 Ge 0.1110 0.1110 0.8255  6 Pt 2.56-2.64
5 Ge 0.3317 0.3317 0.7316  5 Pt 2.46-2.59
6 Ge 0.6683 0.6683 0.2684  5 Pt 2.46-2.59
7 Ge 0.8890 0.8890 0.1745  6 Pt 2.56-2.64
8 Pt 0.0000 0.0000 0.5000  2 Ge 2.56
9 Pt 0.1666 0.1666 0.4242  3 Ge 2.54-2.59
10 Pt 0.3069 0.3069 0.9634  4 Ge 2.46-2.64
11 Pt 0.4897 0.4897 0.7254  3 Ge 2.52-2.58
12 Pt 0.5103 0.5103 0.2746  3 Ge 2.52-2.58
13 Pt 0.6931 0.6931 0.0366  4 Ge 2.46-2.64
14 Pt 0.8334 0.8334 0.5758  3 Ge 2.54-2.59

## Properties
energy relative to the elements	-0.9518	eV/atom
symmetry	C2/m

8.
First-principles (GGA-PBE) data for a relaxed structure of DyGe12Pt4, as listed in Alexandria via LeMat-Bulk.

a b c (Å): 7.5400 7.5400 7.5400
angles (deg): 109.47 109.47 109.47
Last column: nearest neighbours and their distance in Å.
Sites, in units of the cell vectors:
1 Dy 0.0000 0.0000 0.0000  12 Ge 3.34
2 Ge 0.1497 0.3533 0.5030  2 Pt 2.51, 2 Ge 2.55-2.61
3 Ge 0.1497 0.6467 0.7964  2 Pt 2.51, 2 Ge 2.55-2.61
4 Ge 0.2036 0.8503 0.3533  2 Pt 2.51, 2 Ge 2.55-2.61
5 Ge 0.3533 0.2036 0.8503  2 Pt 2.51, 2 Ge 2.55-2.61
6 Ge 0.3533 0.5030 0.1497  2 Pt 2.51, 2 Ge 2.55-2.61
7 Ge 0.4970 0.8503 0.6467  2 Pt 2.51, 2 Ge 2.55-2.61
8 Ge 0.5030 0.1497 0.3533  2 Pt 2.51, 2 Ge 2.55-2.61
9 Ge 0.6467 0.4970 0.8503  2 Pt 2.51, 2 Ge 2.55-2.61
10 Ge 0.6467 0.7964 0.1497  2 Pt 2.51, 2 Ge 2.55-2.61
11 Ge 0.7964 0.1497 0.6467  2 Pt 2.51, 2 Ge 2.55-2.61
12 Ge 0.8503 0.3533 0.2036  2 Pt 2.51, 2 Ge 2.55-2.61
13 Ge 0.8503 0.6467 0.4970  2 Pt 2.51, 2 Ge 2.55-2.61
14 Pt 0.0000 0.0000 0.5000  6 Ge 2.51
15 Pt 0.0000 0.5000 0.0000  6 Ge 2.51
16 Pt 0.5000 0.0000 0.0000  6 Ge 2.51
17 Pt 0.5000 0.5000 0.5000  6 Ge 2.51

## Properties
energy relative to the elements	-0.3523	eV/atom
symmetry	Im-3

9.
First-principles (GGA-PBE) data for a relaxed structure of Dy3Ge2Pt, as listed in Alexandria via LeMat-Bulk.

a b c (Å): 11.5928 4.2892 11.3436
angles (deg): 90.00 90.00 90.00
Last column: nearest neighbours and their distance in Å.
Sites, in units of the cell vectors:
1 Dy 0.0544 0.2500 0.1279  1 Pt 2.90, 5 Ge 2.97-3.17
2 Dy 0.1212 0.7500 0.5589  3 Pt 3.00-3.01, 5 Ge 3.02-3.16
3 Dy 0.2189 0.2500 0.8074  2 Pt 2.88, 4 Ge 2.95-3.15
4 Dy 0.2811 0.7500 0.3074  2 Pt 2.88, 4 Ge 2.95-3.15
5 Dy 0.3788 0.2500 0.0589  3 Pt 3.00-3.01, 5 Ge 3.02-3.16
6 Dy 0.4456 0.7500 0.6279  1 Pt 2.90, 5 Ge 2.97-3.17
7 Dy 0.5544 0.2500 0.3721  1 Pt 2.90, 5 Ge 2.97-3.17
8 Dy 0.6212 0.7500 0.9411  3 Pt 3.00-3.01, 5 Ge 3.02-3.16
9 Dy 0.7189 0.2500 0.6926  2 Pt 2.88, 4 Ge 2.95-3.15
10 Dy 0.7811 0.7500 0.1926  2 Pt 2.88, 4 Ge 2.95-3.15
11 Dy 0.8788 0.2500 0.4411  3 Pt 3.00-3.01, 5 Ge 3.02-3.16
12 Dy 0.9456 0.7500 0.8721  1 Pt 2.90, 5 Ge 2.97-3.17
13 Ge 0.0090 0.7500 0.3083  2 Pt 2.65, 1 Dy 2.95
14 Ge 0.1856 0.7500 0.0055  1 Pt 2.63
15 Ge 0.3144 0.2500 0.5055  1 Pt 2.63
16 Ge 0.4910 0.2500 0.8083  2 Pt 2.65, 1 Dy 2.95
17 Ge 0.5090 0.7500 0.1917  2 Pt 2.65, 1 Dy 2.95
18 Ge 0.6856 0.7500 0.4945  1 Pt 2.63
19 Ge 0.8144 0.2500 0.9945  1 Pt 2.63
20 Ge 0.9910 0.2500 0.6917  2 Pt 2.65, 1 Dy 2.95
21 Pt 0.1284 0.2500 0.3723  3 Ge 2.63-2.65, 3 Dy 2.88-2.90
22 Pt 0.3716 0.7500 0.8723  3 Ge 2.63-2.65, 3 Dy 2.88-2.90
23 Pt 0.6284 0.2500 0.1277  3 Ge 2.63-2.65, 3 Dy 2.88-2.90
24 Pt 0.8716 0.7500 0.6277  3 Ge 2.63-2.65, 3 Dy 2.88-2.90

## Properties
energy relative to the elements	-0.9767	eV/atom
symmetry	Pnma

10.
First-principles (GGA-PBE) data for a relaxed structure of DyGePt, as listed in Alexandria via LeMat-Bulk.

a b c (Å): 5.0793 5.0793 5.0793
angles (deg): 135.78 135.78 64.32
Last column: nearest neighbours and their distance in Å.
Sites, in units of the cell vectors:
1 Dy 0.0000 0.0000 0.0000  5 Ge 2.82-3.08, 5 Pt 2.95-3.12
2 Ge 0.3282 0.3282 0.0000  1 Pt 2.66, 1 Dy 2.82
3 Pt 0.6371 0.6371 0.0000  1 Ge 2.66, 4 Dy 2.95

## Properties
energy relative to the elements	-0.6710	eV/atom
symmetry	I4mm

11.
First-principles (GGA-PBE) data for a relaxed structure of Dy2GePt6, as listed in Alexandria via LeMat-Bulk.

a b c (Å): 5.6092 5.6092 6.2249
angles (deg): 101.90 101.90 60.35
Last column: nearest neighbours and their distance in Å.
Sites, in units of the cell vectors:
1 Dy 0.1457 0.1457 0.3586  9 Pt 2.98-3.16, 1 Ge 3.34
2 Dy 0.8543 0.8543 0.6414  9 Pt 2.98-3.16, 1 Ge 3.34
3 Ge 0.5000 0.5000 0.5000  6 Pt 2.46-2.52
4 Pt 0.1096 0.6253 0.1890  1 Ge 2.52, 2 Pt 2.73-2.74
5 Pt 0.3753 0.3753 0.8012  1 Ge 2.46, 2 Pt 2.74
6 Pt 0.3747 0.8904 0.8110  1 Ge 2.52, 2 Pt 2.73-2.74
7 Pt 0.6253 0.1096 0.1890  1 Ge 2.52, 2 Pt 2.73-2.74
8 Pt 0.6247 0.6247 0.1988  1 Ge 2.46, 2 Pt 2.74
9 Pt 0.8904 0.3747 0.8110  1 Ge 2.52, 2 Pt 2.73-2.74

## Properties
energy relative to the elements	-0.9785	eV/atom
symmetry	C2/m

12.
First-principles (GGA-PBE) data for a relaxed structure of Dy2GePt, as listed in Alexandria via LeMat-Bulk.

a b c (Å): 3.4871 3.4871 7.2631
angles (deg): 90.00 90.00 90.00
Last column: nearest neighbours and their distance in Å.
Sites, in units of the cell vectors:
1 Dy 0.0000 0.0000 0.2415  4 Pt 3.03, 4 Ge 3.10
2 Dy 0.0000 0.0000 0.7585  4 Pt 3.03, 4 Ge 3.10
3 Ge 0.5000 0.5000 0.5000  8 Dy 3.10
4 Pt 0.5000 0.5000 0.0000  8 Dy 3.03

## Properties
energy relative to the elements	-0.9485	eV/atom
symmetry	P4/mmm